[1]
TaCoNi2H PBE-GGA relaxed; spin magnetization = 0.00 μB per formula unit; ΔE to the lowest computed polymorph = 0.014 eV/atom
1.0
-0.641 3.513 -0.864
-1.613 0.507 3.261
3.349 0.981 1.504
Ni Co H Ta
2 1 1 1
Cartesian
-0.807 0.254 1.631
-0.320 1.756 -0.432
1.675 0.490 0.752
0.000 0.000 0.000
0.547 2.500 1.951


[2]
Sc2SbRu PBE-GGA relaxed; spin magnetization = 0.00 μB per formula unit; formation energy (no corrections) = -0.414 eV per atom
1.0
-6.268 -4.398 4.549
-3.834 -4.291 6.798
-5.891 -1.713 6.456
Ru Sb Sc
1 1 2
Cartesian
-3.998 -2.601 4.451
-11.994 -7.802 13.353
-15.798 -10.276 17.587
-8.190 -5.328 9.118


- What is the spin magnetization in the first record?
  0.00 μB per formula unit


- spin magnetization of number 1 (TaCoNi2H)?
  0.00 μB per formula unit